Entry 1:
Rb3In8Ge3: optimized geometry, GGA-PBE.

Cell: 5.314 9.376 9.376 Å, 76.25 73.54 73.54°
Atoms (fractional coordinates):
In 0.624 0.663 0.090
In 0.376 0.910 0.337
In 0.840 0.518 0.803
In 0.160 0.197 0.482
In 0.624 0.090 0.663
In 0.840 0.803 0.518
In 0.160 0.482 0.197
In 0.376 0.337 0.910
Ge 0.000 0.806 0.194
Ge 0.000 0.194 0.806
Ge 0.500 0.000 0.000
Rb 0.500 0.500 0.500
Rb 0.194 0.806 0.806
Rb 0.806 0.194 0.194

E (eV per cell): -38.7
Density (kg/m3): 5464
Space group: Immm, No. 71
V (Å³ per cell): 423
ΔE to the lowest computed polymorph (meV per atom): 19
DFT formation energy (eV/atom): -0.003



Entry 2:
RbInGe3: optimized geometry, GGA-PBE.

Cell: 5.761 5.761 5.761 Å, 90.00 90.00 90.00°
Atoms (fractional coordinates):
In 0.500 0.500 0.500
Ge 0.000 0.000 0.500
Ge 0.000 0.500 0.000
Ge 0.500 0.000 0.000
Rb 0.000 0.000 0.000

E (eV per cell): -10.0
Density (kg/m3): 3633
Space group: Pm-3m, No. 221
V (Å³ per cell): 191
ΔE to the lowest computed polymorph (meV per atom): 982
DFT formation energy (eV/atom): 1.513



Entry 3:
RbInGe2: optimized geometry, GGA-PBE.

Cell: 4.762 4.762 7.147 Å, 70.54 70.54 60.00°
Atoms (fractional coordinates):
In 0.000 0.000 0.000
Ge 0.706 0.706 0.883
Ge 0.294 0.294 0.117
Rb 0.500 0.500 0.500

E (eV per cell): -12.5
Density (kg/m3): 4429
Space group: R-3m, No. 166
V (Å³ per cell): 130
DFT formation energy (eV/atom): 0.114